# PBE Hf2AlRh3, optimized geometry
data_Hf2AlRh3
_chemical_formula_sum 'Hf4 Al2 Rh6'
_cell_length_a 4.4823
_cell_length_b 4.4823
_cell_length_c 11.2373
_cell_angle_alpha 90.00
_cell_angle_beta 90.00
_cell_angle_gamma 120.00
_symmetry_space_group_name_H-M 'P -3 m 1'
_symmetry_Int_Tables_number 164
_symmetry_space_group_name_Hall '-P 3 2"'
loop_
_atom_site_label
_atom_site_type_symbol
_atom_site_fract_x
_atom_site_fract_y
_atom_site_fract_z
Hf1 Hf 0.0000 0.0000 0.0000
Hf2 Hf 0.0000 0.0000 0.5000
Hf3 Hf 0.3333 0.6667 0.1759
Al1 Al 0.3333 0.6667 0.6604
Rh1 Rh 0.0000 0.0000 0.2589
Rh2 Rh 0.3333 0.6667 0.4202
Rh3 Rh 0.3333 0.6667 0.8936
# - volume (Å³ per atom) = 16.29
# - DOS at the Fermi energy (states/eV/atom) = 0.770
# - E (eV/atom) = -8.572
# - E_form (eV/atom) = -0.955